No. 1
Compound: ReMoRu2
Source: Alexandria
Functional: PBE
Structure: relaxed

```
4
Lattice="-0.650 -3.961 -1.773 3.403 -2.687 -0.675 0.468 -3.607 2.455" Properties=species:S:1:pos:R:3 pbc="T T T"
Mo 1.610 -5.128 0.004
Re 2.416 -7.691 0.005
Ru 0.000 0.000 0.000
Ru 0.805 -2.564 0.002
```

Computed properties:
**E above lowest polymorph**: 0.3189 eV per atom
**DFT formation energy**: 341 meV/atom



No. 2
Compound: Re2MoRu
Source: Alexandria
Functional: PBE
Structure: relaxed

```
4
Lattice="-4.074 -2.524 -0.199 1.633 0.051 4.510 -1.445 2.293 0.497" Properties=species:S:1:pos:R:3 pbc="T T T"
Mo 0.094 1.172 2.504
Re 0.000 0.000 0.000
Re -1.221 -1.237 2.156
Ru -2.760 -0.115 0.149
```

Computed properties:
**E above lowest polymorph**: 0.0721 eV per atom
**DFT formation energy**: 86 meV/atom



No. 3
Compound: ReMo3Ru
Source: Alexandria
Functional: PBE
Structure: relaxed

```
5
Lattice="-1.721 1.799 -3.958 -4.347 -0.784 1.534 -0.073 4.244 1.961" Properties=species:S:1:pos:R:3 pbc="T T T"
Re 0.000 0.000 0.000
Mo -2.173 -0.392 0.767
Mo -0.037 2.122 0.981
Mo -0.861 0.900 -1.979
Ru -3.071 2.630 -0.231
```

Computed properties:
**E above lowest polymorph**: 0.0000 eV per atom
**DFT formation energy**: 1916 meV/atom



No. 4
Compound: Re2MoRu
Source: Alexandria
Functional: PBE
Structure: relaxed

```
4
Lattice="4.824 0.000 0.000 1.694 4.517 0.000 -3.259 -2.259 2.748" Properties=species:S:1:pos:R:3 pbc="T T T"
Mo 2.412 0.000 1.374
Re 0.000 0.000 0.000
Re 3.259 2.259 0.000
Ru 0.847 2.259 1.374
```

Computed properties:
**E above lowest polymorph**: 0.0774 eV per atom
**DFT formation energy**: 91 meV/atom



No. 5
Compound: ReMoRu2
Source: Alexandria
Functional: PBE
Structure: relaxed

```
4
Lattice="4.762 -0.002 0.005 3.970 2.630 0.005 0.792 0.238 4.692" Properties=species:S:1:pos:R:3 pbc="T T T"
Mo 7.144 2.149 3.527
Re 2.381 0.716 1.176
Ru 8.714 2.622 0.045
Ru 4.782 1.439 2.316
```

Computed properties:
**E above lowest polymorph**: 0.0444 eV per atom
**DFT formation energy**: 66 meV/atom



No. 6
Compound: Re4MoRu
Source: Alexandria
Functional: PBE
Structure: relaxed

```
24
Lattice="8.318 0.000 0.000 0.000 3.893 0.013 0.000 -0.037 11.121" Properties=species:S:1:pos:R:3 pbc="T T T"
Re 7.649 0.938 10.448
Re 3.490 2.899 6.247
Re 0.669 2.918 0.686
Re 4.828 0.957 4.887
Re 2.027 0.939 10.402
Re 6.186 2.899 6.292
Re 6.290 2.918 0.732
Re 2.132 0.957 4.842
Re 6.224 2.890 9.016
Re 2.065 0.948 7.679
Re 2.094 0.966 2.118
Re 6.252 2.908 3.455
Re 3.396 2.890 8.975
Re 7.555 0.948 7.719
Re 4.921 0.966 2.158
Re 0.763 2.909 3.415
Mo 4.845 0.939 10.385
Mo 0.686 2.899 6.309
Mo 3.473 2.918 0.749
Mo 7.632 0.957 4.825
Ru 0.692 2.890 9.082
Ru 4.851 0.948 7.612
Ru 7.626 0.966 2.052
Ru 3.467 2.908 3.521
```

Computed properties:
**E above lowest polymorph**: 0.0000 eV per atom
**DFT formation energy**: 77 meV/atom



No. 7
Compound: ReMo4Ru
Source: Alexandria
Functional: PBE
Structure: relaxed

```
6
Lattice="3.676 -3.176 1.637 -0.986 -5.002 0.534 2.091 -3.384 -3.234" Properties=species:S:1:pos:R:3 pbc="T T T"
Re 1.195 -2.891 -0.266
Mo 1.945 -5.536 0.947
Mo 3.477 -4.730 -0.929
Mo 2.986 -7.221 -0.664
Mo 1.155 -5.639 -1.479
Ru 0.000 0.000 0.000
```

Computed properties:
**DFT formation energy**: 359 meV/atom



No. 8
Compound: Re2MoRu
Source: Alexandria
Functional: PBE
Structure: relaxed

```
4
Lattice="-2.173 1.377 1.028 0.271 -1.362 2.397 4.787 5.586 2.634" Properties=species:S:1:pos:R:3 pbc="T T T"
Mo 2.621 4.176 3.678
Re 0.033 0.038 0.018
Re 0.256 1.416 2.377
Ru 2.368 2.763 1.303
```

Computed properties:
**E above lowest polymorph**: 0.0757 eV per atom
**DFT formation energy**: 90 meV/atom



No. 9
Compound: ReMoRu2
Source: Alexandria
Functional: PBE
Structure: relaxed

```
4
Lattice="-0.950 -5.416 -7.345 -2.011 -7.096 -5.458 -3.592 -5.201 -6.651" Properties=species:S:1:pos:R:3 pbc="T T T"
Mo -1.638 -4.428 -4.864
Re -4.915 -13.285 -14.591
Ru -0.007 -0.019 -0.021
Ru -3.269 -8.837 -9.706
```

Computed properties:
**E above lowest polymorph**: 0.0722 eV per atom
**DFT formation energy**: 94 meV/atom



No. 10
Compound: Re2MoRu
Source: Alexandria
Functional: PBE
Structure: relaxed

```
4
Lattice="9.275 0.007 0.004 8.864 2.731 0.004 8.864 1.338 2.381" Properties=species:S:1:pos:R:3 pbc="T T T"
Mo 20.252 3.057 1.792
Re 26.923 4.064 2.382
Re 13.581 2.050 1.201
Ru 6.751 1.019 0.597
```

Computed properties:
**E above lowest polymorph**: 0.1402 eV per atom
**DFT formation energy**: 154 meV/atom



No. 11
Compound: Re2MoRu
Source: Alexandria
Functional: PBE
Structure: relaxed

```
4
Lattice="4.467 0.000 0.000 0.000 4.467 0.000 0.000 0.000 3.024" Properties=species:S:1:pos:R:3 pbc="T T T"
Mo 0.000 2.233 1.512
Re 0.000 0.000 0.000
Re 2.233 2.233 0.000
Ru 2.233 0.000 1.512
```

Computed properties:
**E above lowest polymorph**: 0.2903 eV per atom
**DFT formation energy**: 304 meV/atom



No. 12
Compound: Re3MoRu
Source: Alexandria
Functional: PBE
Structure: relaxed

```
5
Lattice="-0.736 3.621 2.728 -1.671 -2.786 3.246 4.214 -0.472 1.764" Properties=species:S:1:pos:R:3 pbc="T T T"
Re -0.836 -1.393 1.623
Re 2.107 -0.236 0.882
Re -0.368 1.810 1.364
Mo 0.903 0.181 3.869
Ru 0.000 0.000 0.000
```

Computed properties:
**E above lowest polymorph**: 0.0000 eV per atom
**DFT formation energy**: 2280 meV/atom